1.
DFT (GGA-PBE) results for a relaxed Ho4CdTc crystal.

Cell: 5.1456 5.1456 21.7273 Å, 90.00 90.00 120.00°
Space group R-3m (No. 166, hexagonal axes)
Unique sites:
1 Ho 0.0000 0.0000 0.1223
2 Ho 0.0000 0.0000 0.2979
3 Cd 0.0000 0.0000 0.5000
4 Tc 0.0000 0.0000 0.0000

Results
- polymorph energy (0 for the lowest one) (kJ/mol of atoms) = 21.4
- final energy (Ry per atom) = -0.36046
- DFT formation energy (eV/atom) = 0.03
- size of the total moment (μB/f.u.) = 0.0


2.
DFT (GGA-PBE) results for a relaxed Mn2RuSe crystal.

Cell: 2.7844 2.7844 23.6880 Å, 90.00 90.00 120.00°
Space group R-3m (No. 166, hexagonal axes)
Unique sites:
1 Mn 0.0000 0.0000 0.2468
2 Ru 0.0000 0.0000 0.0000
3 Se 0.0000 0.0000 0.5000

Results
- final energy (Ry per atom) = -0.54765
- formation energy without anion corrections (eV/f.u.) = 1.29
- size of the total moment (μB/f.u.) = 2.5


3.
DFT (GGA-PBE) results for a relaxed CeSn2Bi crystal.

Cell: 4.748 4.748 4.889 Å, 90.00 90.00 90.00°
Space group P4/mmm (No. 123)
Unique sites:
1 Ce 0.000 0.000 0.000
2 Sn 0.000 0.500 0.500
3 Bi 0.500 0.500 0.000

Results
- polymorph energy (0 for the lowest one) (kJ/mol of atoms) = 0.0
- final energy (Ry per atom) = -0.36374
- DFT formation energy (eV/atom) = -0.49
- size of the total moment (μB/f.u.) = 0.4


4.
DFT (GGA-PBE) results for a relaxed PmNdMgCd crystal.

Cell: 3.868 3.868 7.681 Å, 90.00 90.00 90.00°
Space group P4mm (No. 99)
Unique sites:
1 Pm 0.000 0.000 0.000
2 Nd 0.000 0.000 0.500
3 Mg 0.500 0.500 0.752
4 Cd 0.500 0.500 0.247

Results
- final energy (Ry per atom) = -0.23667
- DFT formation energy (eV/atom) = -0.21
- size of the total moment (μB/f.u.) = 0.0


5.
DFT (GGA-PBE) results for a relaxed BeFeP2 crystal.

Cell: 3.145 2.661 5.692 Å, 90.00 103.19 90.00°
Space group P2/m (No. 10)
Unique sites:
1 Be 0.000 0.000 0.000
2 Fe 0.000 0.000 0.500
3 P 0.414 0.500 0.274

Results
- polymorph energy (0 for the lowest one) (kJ/mol of atoms) = 28.2
- final energy (Ry per atom) = -0.41485
- DFT formation energy (eV/atom) = 0.11
- size of the total moment (μB/f.u.) = 0.0


6.
DFT (GGA-PBE) results for a relaxed Li2ScW crystal.

Cell: 10.347 2.724 5.507 Å, 90.00 116.02 90.00°
Space group Cm (No. 8)
Unique sites:
1 Li 0.000 0.000 0.000
2 Li 0.241 0.500 0.047
3 Sc 0.002 0.500 0.485
4 W 0.251 0.000 0.570

Results
- polymorph energy (0 for the lowest one) (kJ/mol of atoms) = 16.6
- final energy (Ry per atom) = -0.39186
- DFT formation energy (eV/atom) = 0.45
- size of the total moment (μB/f.u.) = 0.0


Repeat the sixth record exactly.
DFT (GGA-PBE) results for a relaxed Li2ScW crystal.

Cell: 10.347 2.724 5.507 Å, 90.00 116.02 90.00°
Space group Cm (No. 8)
Unique sites:
1 Li 0.000 0.000 0.000
2 Li 0.241 0.500 0.047
3 Sc 0.002 0.500 0.485
4 W 0.251 0.000 0.570

Results
- polymorph energy (0 for the lowest one) (kJ/mol of atoms) = 16.6
- final energy (Ry per atom) = -0.39186
- DFT formation energy (eV/atom) = 0.45
- size of the total moment (μB/f.u.) = 0.0


Which formula does entry 3 have? CeSn2Bi


What is the final energy in the sixth record? -0.39186 Ry per atom